Computed, not measured: crystalline Cr3W4 at its relaxed geometry at the PBE-GGA level of DFT.

Lattice parameters (Å, degrees): 4.8203 4.8203 5.0004 90.00 90.00 60.00
With the nearest neighbours (Å) after each atom.
Fractional positions:
W: 0.3333 0.3333 0.5000  9 W 2.78-3.05, 6 Cr 2.86
W: 0.0000 0.0000 0.2515  2 W 2.49-2.52, 6 Cr 2.72
W: 0.0000 0.0000 0.7485  2 W 2.49-2.52, 6 Cr 2.72
W: 0.6667 0.6667 0.5000  9 W 2.78-3.05, 6 Cr 2.86
Cr: 0.0000 0.5000 0.0000  4 Cr 2.41
Cr: 0.5000 0.0000 0.0000  4 Cr 2.41
Cr: 0.5000 0.5000 0.0000  4 Cr 2.41

Summary:
V: 101 Å³/cell
Energy relative to the lowest polymorph listed for this composition: 0.000 eV/atom
E_form: 0.067 eV per atom
Space group: No. 191
Total DFT energy (no corrections): -80.21 eV per formula unit

Computed, not measured: crystalline CrW2 at its relaxed geometry at the PBE-GGA level of DFT.

Lattice parameters (Å, degrees): 3.1001 6.6965 4.3816 90.00 90.00 76.62
With the nearest neighbours (Å) after each atom.
Fractional positions:
Cr: 0.9185 0.1631 0.2500  8 W 2.60-2.68
Cr: 0.0815 0.8369 0.7500  8 W 2.60-2.68
W: 0.2515 0.4970 0.2500  2 Cr 2.67, 6 W 2.68-2.73
W: 0.4212 0.1577 0.7500  6 Cr 2.60-2.68, 2 W 2.73
W: 0.7485 0.5030 0.7500  2 Cr 2.67, 6 W 2.68-2.73
W: 0.5788 0.8423 0.2500  6 Cr 2.60-2.68, 2 W 2.73

Summary:
V: 88 Å³/cell
Energy relative to the lowest polymorph listed for this composition: 0.000 eV/atom
E_form: 0.054 eV per atom
Space group: No. 63
Total DFT energy (no corrections): -35.37 eV per formula unit

Computed, not measured: crystalline Cr2W3 at its relaxed geometry at the PBE-GGA level of DFT.

Lattice parameters (Å, degrees): 10.4110 10.4110 10.4110 15.95 15.95 15.95
With the nearest neighbours (Å) after each atom.
Fractional positions:
Cr: 0.3984 0.3984 0.3984  6 W 2.60-2.61, 6 Cr 2.89
Cr: 0.6016 0.6016 0.6016  6 W 2.60-2.61, 6 Cr 2.89
W: 0.7964 0.7964 0.7964  3 Cr 2.60, 9 W 2.82-2.89
W: 0.0000 0.0000 0.0000  6 Cr 2.61, 6 W 2.89
W: 0.2036 0.2036 0.2036  3 Cr 2.60, 9 W 2.82-2.89

Summary:
V: 74 Å³/cell
Energy relative to the lowest polymorph listed for this composition: 0.394 eV/atom
E_form: 0.435 eV per atom
Space group: No. 166
Total DFT energy (no corrections): -55.93 eV per formula unit

Computed, not measured: crystalline CrW2 at its relaxed geometry at the PBE-GGA level of DFT.

Lattice parameters (Å, degrees): 9.4266 9.4266 5.0074 90.00 90.00 90.00
With the nearest neighbours (Å) after each atom.
Fractional positions:
W: 0.6014 0.3986 0.0000  3 W 2.62-2.70, 6 Cr 2.85-2.89
W: 0.5342 0.1290 0.0000  2 W 2.52-2.62, 4 Cr 2.74-2.77
W: 0.0342 0.3710 0.5000  2 W 2.52-2.62, 4 Cr 2.74-2.77
W: 0.6845 0.6845 0.2496  2 W 2.50-2.51, 5 Cr 2.73-2.76
W: 0.3155 0.3155 0.7504  2 W 2.50-2.51, 5 Cr 2.73-2.76
W: 0.6290 0.9658 0.5000  2 W 2.52-2.62, 4 Cr 2.74-2.77
W: 0.6845 0.6845 0.7504  2 W 2.50-2.51, 5 Cr 2.73-2.76
W: 0.1845 0.8155 0.2504  2 W 2.50-2.51, 5 Cr 2.73-2.76
W: 0.1845 0.8155 0.7496  2 W 2.50-2.51, 5 Cr 2.73-2.76
W: 0.8986 0.8986 0.5000  3 W 2.62-2.70, 6 Cr 2.85-2.89
W: 0.8155 0.1845 0.7496  2 W 2.50-2.51, 5 Cr 2.73-2.76
W: 0.3986 0.6014 0.0000  3 W 2.62-2.70, 6 Cr 2.85-2.89
W: 0.1290 0.5342 0.0000  2 W 2.52-2.62, 4 Cr 2.74-2.77
W: 0.9658 0.6290 0.5000  2 W 2.52-2.62, 4 Cr 2.74-2.77
W: 0.8710 0.4658 0.0000  2 W 2.52-2.62, 4 Cr 2.74-2.77
W: 0.3155 0.3155 0.2496  2 W 2.50-2.51, 5 Cr 2.73-2.76
W: 0.8155 0.1845 0.2504  2 W 2.50-2.51, 5 Cr 2.73-2.76
W: 0.4658 0.8710 0.0000  2 W 2.52-2.62, 4 Cr 2.74-2.77
W: 0.3710 0.0342 0.5000  2 W 2.52-2.62, 4 Cr 2.74-2.77
W: 0.1014 0.1014 0.5000  3 W 2.62-2.70, 6 Cr 2.85-2.89
Cr: 0.2494 0.0648 0.0000  2 Cr 2.43-2.46
Cr: 0.7506 0.9352 0.0000  2 Cr 2.43-2.46
Cr: 0.2506 0.5648 0.5000  2 Cr 2.43-2.46
Cr: 0.4352 0.7494 0.5000  2 Cr 2.43-2.46
Cr: 0.7494 0.4352 0.5000  2 Cr 2.43-2.46
Cr: 0.5648 0.2506 0.5000  2 Cr 2.43-2.46
Cr: 0.0648 0.2494 0.0000  2 Cr 2.43-2.46
Cr: 0.5000 0.5000 0.5000  4 Cr 2.43
Cr: 0.9352 0.7506 0.0000  2 Cr 2.43-2.46
Cr: 0.0000 0.0000 0.0000  4 Cr 2.43

Summary:
V: 445 Å³/cell
Energy relative to the lowest polymorph listed for this composition: 0.028 eV/atom
E_form: 0.082 eV per atom
Space group: No. 136
Total DFT energy (no corrections): -35.28 eV per formula unit

Computed, not measured: crystalline Cr4W at its relaxed geometry at the PBE-GGA level of DFT.

Lattice parameters (Å, degrees): 2.9392 4.8575 4.8575 95.25 107.61 72.39
With the nearest neighbours (Å) after each atom.
Fractional positions:
Cr: 0.8066 0.7931 0.4064  6 Cr 2.49-2.57, 2 W 2.57
Cr: 0.1934 0.2069 0.5936  6 Cr 2.49-2.57, 2 W 2.57
Cr: 0.4003 0.4064 0.2069  6 Cr 2.49-2.57, 2 W 2.57
Cr: 0.5997 0.5936 0.7931  6 Cr 2.49-2.57, 2 W 2.57
W: 0.0000 0.0000 0.0000  8 Cr 2.57

Summary:
V: 63 Å³/cell
Energy relative to the lowest polymorph listed for this composition: 0.000 eV/atom
E_form: 0.052 eV per atom
Space group: No. 87
Total DFT energy (no corrections): -51.19 eV per formula unit

Computed, not measured: crystalline CrW2 at its relaxed geometry at the PBE-GGA level of DFT.

Lattice parameters (Å, degrees): 4.1220 4.1220 2.9479 90.00 90.00 90.00
With the nearest neighbours (Å) after each atom.
Fractional positions:
Cr: 0.0000 0.0000 0.0000  8 W 2.53
W: 0.0000 0.5000 0.5000  4 Cr 2.53
W: 0.5000 0.0000 0.5000  4 Cr 2.53

Summary:
V: 50 Å³/cell
Energy relative to the lowest polymorph listed for this composition: 0.837 eV/atom
E_form: 0.890 eV per atom
Space group: No. 123
Total DFT energy (no corrections): -32.86 eV per formula unit

- Which of these has the lowest E_form?
  Cr4W

Please write out number 4 again, unchanged.
Computed, not measured: crystalline CrW2 at its relaxed geometry at the PBE-GGA level of DFT.

Lattice parameters (Å, degrees): 9.4266 9.4266 5.0074 90.00 90.00 90.00
With the nearest neighbours (Å) after each atom.
Fractional positions:
W: 0.6014 0.3986 0.0000  3 W 2.62-2.70, 6 Cr 2.85-2.89
W: 0.5342 0.1290 0.0000  2 W 2.52-2.62, 4 Cr 2.74-2.77
W: 0.0342 0.3710 0.5000  2 W 2.52-2.62, 4 Cr 2.74-2.77
W: 0.6845 0.6845 0.2496  2 W 2.50-2.51, 5 Cr 2.73-2.76
W: 0.3155 0.3155 0.7504  2 W 2.50-2.51, 5 Cr 2.73-2.76
W: 0.6290 0.9658 0.5000  2 W 2.52-2.62, 4 Cr 2.74-2.77
W: 0.6845 0.6845 0.7504  2 W 2.50-2.51, 5 Cr 2.73-2.76
W: 0.1845 0.8155 0.2504  2 W 2.50-2.51, 5 Cr 2.73-2.76
W: 0.1845 0.8155 0.7496  2 W 2.50-2.51, 5 Cr 2.73-2.76
W: 0.8986 0.8986 0.5000  3 W 2.62-2.70, 6 Cr 2.85-2.89
W: 0.8155 0.1845 0.7496  2 W 2.50-2.51, 5 Cr 2.73-2.76
W: 0.3986 0.6014 0.0000  3 W 2.62-2.70, 6 Cr 2.85-2.89
W: 0.1290 0.5342 0.0000  2 W 2.52-2.62, 4 Cr 2.74-2.77
W: 0.9658 0.6290 0.5000  2 W 2.52-2.62, 4 Cr 2.74-2.77
W: 0.8710 0.4658 0.0000  2 W 2.52-2.62, 4 Cr 2.74-2.77
W: 0.3155 0.3155 0.2496  2 W 2.50-2.51, 5 Cr 2.73-2.76
W: 0.8155 0.1845 0.2504  2 W 2.50-2.51, 5 Cr 2.73-2.76
W: 0.4658 0.8710 0.0000  2 W 2.52-2.62, 4 Cr 2.74-2.77
W: 0.3710 0.0342 0.5000  2 W 2.52-2.62, 4 Cr 2.74-2.77
W: 0.1014 0.1014 0.5000  3 W 2.62-2.70, 6 Cr 2.85-2.89
Cr: 0.2494 0.0648 0.0000  2 Cr 2.43-2.46
Cr: 0.7506 0.9352 0.0000  2 Cr 2.43-2.46
Cr: 0.2506 0.5648 0.5000  2 Cr 2.43-2.46
Cr: 0.4352 0.7494 0.5000  2 Cr 2.43-2.46
Cr: 0.7494 0.4352 0.5000  2 Cr 2.43-2.46
Cr: 0.5648 0.2506 0.5000  2 Cr 2.43-2.46
Cr: 0.0648 0.2494 0.0000  2 Cr 2.43-2.46
Cr: 0.5000 0.5000 0.5000  4 Cr 2.43
Cr: 0.9352 0.7506 0.0000  2 Cr 2.43-2.46
Cr: 0.0000 0.0000 0.0000  4 Cr 2.43

Summary:
V: 445 Å³/cell
Energy relative to the lowest polymorph listed for this composition: 0.028 eV/atom
E_form: 0.082 eV per atom
Space group: No. 136
Total DFT energy (no corrections): -35.28 eV per formula unit

- The highest total DFT energy (no corrections) belongs to which entry?
  number 6

What did the second record say?
Computed, not measured: crystalline CrW2 at its relaxed geometry at the PBE-GGA level of DFT.

Lattice parameters (Å, degrees): 3.1001 6.6965 4.3816 90.00 90.00 76.62
With the nearest neighbours (Å) after each atom.
Fractional positions:
Cr: 0.9185 0.1631 0.2500  8 W 2.60-2.68
Cr: 0.0815 0.8369 0.7500  8 W 2.60-2.68
W: 0.2515 0.4970 0.2500  2 Cr 2.67, 6 W 2.68-2.73
W: 0.4212 0.1577 0.7500  6 Cr 2.60-2.68, 2 W 2.73
W: 0.7485 0.5030 0.7500  2 Cr 2.67, 6 W 2.68-2.73
W: 0.5788 0.8423 0.2500  6 Cr 2.60-2.68, 2 W 2.73

Summary:
V: 88 Å³/cell
Energy relative to the lowest polymorph listed for this composition: 0.000 eV/atom
E_form: 0.054 eV per atom
Space group: No. 63
Total DFT energy (no corrections): -35.37 eV per formula unit